Entry 1:
{
  "formula": "Ba3Mg2H5S2",
  "functional": "PBE",
  "state": "relaxed",
  "crystal_system": "tetragonal",
  "space_group": "I4/mmm, No. 139",
  "cell": [[-2.945, -2.803, 1.627], [-1.004, -1.302, -4.059], [10.453, -6.482, 1.857]],
  "species": ["Ba", "H", "H", "Mg", "H", "Mg", "Ba", "S", "H", "S", "Ba", "H"],
  "fractional_positions": [[0.178, 0.178, 0.357], [0.078, 0.578, 0.157], [0.578, 0.078, 0.157], [0.414, 0.414, 0.828], [0.922, 0.422, 0.843], [0.586, 0.586, 0.172], [0.000, 0.000, 0.000], [0.690, 0.690, 0.379], [0.500, 0.500, 0.000], [0.310, 0.310, 0.621], [0.822, 0.822, 0.643], [0.422, 0.922, 0.843]]
}

=====

Entry 2:
{
  "formula": "Ba2MgSbH",
  "functional": "PBE",
  "state": "relaxed",
  "crystal_system": "tetragonal",
  "space_group": "P4/mmm, No. 123",
  "cell": [[-1.574, -4.714, 2.467], [4.167, -0.133, 2.405], [-2.287, 2.922, 4.125]],
  "species": ["Ba", "H", "Ba", "Sb", "Mg"],
  "fractional_positions": [[0.000, 0.000, 0.500], [0.000, 0.000, 0.000], [0.500, 0.000, 0.000], [0.500, 0.500, 0.500], [0.000, 0.500, 0.000]]
}

=====

Entry 3:
{
  "formula": "BaMgSbH2",
  "functional": "PBE",
  "state": "relaxed",
  "crystal_system": "orthorhombic",
  "space_group": "Cmcm, No. 63",
  "cell": [[4.719, 0.000, 0.000], [-2.360, 6.227, 0.000], [0.000, 0.000, 6.912]],
  "species": ["Sb", "Ba", "H", "Mg", "Ba", "Mg", "Sb", "H", "H", "H"],
  "fractional_positions": [[0.445, 0.889, 0.750], [0.721, 0.442, 0.750], [0.846, 0.692, 0.059], [0.000, 0.000, 0.500], [0.279, 0.558, 0.250], [0.000, 0.000, 0.000], [0.555, 0.111, 0.250], [0.846, 0.692, 0.441], [0.154, 0.308, 0.941], [0.154, 0.308, 0.559]]
}

=====

Entry 4:
{
  "formula": "Ba3Mg2H5Se2",
  "functional": "PBE",
  "state": "relaxed",
  "crystal_system": "tetragonal",
  "space_group": "I4/mmm, No. 139",
  "cell": [[-0.617, 0.158, -4.437], [3.527, -2.704, -0.587], [-8.825, -8.489, 3.190]],
  "species": ["H", "H", "H", "Mg", "Mg", "Ba", "Se", "Ba", "H", "H", "Ba", "Se"],
  "fractional_positions": [[0.424, 0.924, 0.848], [0.500, 0.500, 0.000], [0.076, 0.576, 0.152], [0.583, 0.583, 0.166], [0.417, 0.417, 0.834], [0.826, 0.826, 0.651], [0.690, 0.690, 0.381], [0.174, 0.174, 0.349], [0.924, 0.424, 0.848], [0.576, 0.076, 0.152], [0.000, 0.000, 0.000], [0.310, 0.310, 0.619]]
}

=====

Entry 5:
{
  "formula": "BaMgH2Se",
  "functional": "PBE",
  "state": "relaxed",
  "crystal_system": "tetragonal",
  "space_group": "P4mm, No. 99",
  "cell": [[6.175, 0.000, 0.000], [0.000, 6.175, 0.000], [-3.087, -3.087, 5.439]],
  "species": ["Se", "Mg", "Mg", "H", "H", "Ba", "Se", "Ba", "H", "H"],
  "fractional_positions": [[0.237, 0.237, 0.474], [0.498, 0.498, 0.996], [0.998, 0.998, 0.996], [0.225, 0.725, 0.950], [0.725, 0.225, 0.950], [0.815, 0.315, 0.631], [0.737, 0.737, 0.474], [0.315, 0.815, 0.631], [0.225, 0.225, 0.950], [0.725, 0.725, 0.950]]
}

=====

Entry 6:
{
  "formula": "BaMg2SiH",
  "functional": "PBE",
  "state": "relaxed",
  "crystal_system": "orthorhombic",
  "space_group": "Cmcm, No. 63",
  "cell": [[4.332, 0.000, 0.000], [-2.166, 6.268, 0.000], [0.000, 0.000, 8.041]],
  "species": ["Si", "Si", "Mg", "H", "Mg", "Mg", "H", "Ba", "Ba", "Mg"],
  "fractional_positions": [[0.735, 0.469, 0.750], [0.265, 0.531, 0.250], [0.172, 0.344, 0.562], [0.000, 0.000, 0.500], [0.172, 0.344, 0.938], [0.828, 0.656, 0.062], [0.000, 0.000, 0.000], [0.457, 0.914, 0.750], [0.543, 0.086, 0.250], [0.828, 0.656, 0.438]]
}

=====

Entry 7:
{
  "formula": "Ba2MgSnH",
  "functional": "PBE",
  "state": "relaxed",
  "crystal_system": "tetragonal",
  "space_group": "P4/mmm, No. 123",
  "cell": [[5.520, 0.000, 0.000], [0.000, 5.520, 0.000], [0.000, 0.000, 4.878]],
  "species": ["Ba", "Sn", "Mg", "Ba", "H"],
  "fractional_positions": [[0.500, 0.000, 0.000], [0.500, 0.500, 0.500], [0.000, 0.000, 0.500], [0.000, 0.500, 0.000], [0.000, 0.000, 0.000]]
}

=====

Entry 8:
{
  "formula": "BaMgSnH",
  "functional": "PBE",
  "state": "relaxed",
  "crystal_system": "hexagonal",
  "space_group": "P-6m2, No. 187",
  "cell": [[-4.024, -1.316, 2.968], [2.147, -3.498, -3.145], [2.635, -1.140, 3.067]],
  "species": ["Ba", "Mg", "H", "Sn"],
  "fractional_positions": [[0.572, 0.144, 0.310], [0.239, 0.477, 0.810], [0.239, 0.477, 0.309], [0.905, 0.811, 0.810]]
}

=====

Entry 9:
{
  "formula": "Ba2SrMgH",
  "functional": "PBE",
  "state": "relaxed",
  "crystal_system": "tetragonal",
  "space_group": "P4/mmm, No. 123",
  "cell": [[-4.370, -3.836, -1.030], [2.692, -3.987, 3.425], [-2.605, 1.842, 4.192]],
  "species": ["Ba", "H", "Mg", "Sr", "Ba"],
  "fractional_positions": [[0.000, 0.500, 0.000], [0.000, 0.000, 0.000], [0.000, 0.000, 0.500], [0.500, 0.500, 0.500], [0.500, 0.000, 0.000]]
}

=====

Entry 10:
{
  "formula": "BaSr2MgH8",
  "functional": "PBE",
  "state": "relaxed",
  "crystal_system": "monoclinic",
  "space_group": "P2/m, No. 10",
  "cell": [[4.230, -0.321, -0.001], [-0.325, 5.547, -0.007], [0.004, 0.006, 7.967]],
  "species": ["H", "Ba", "H", "H", "Sr", "Sr", "H", "H", "H", "Mg", "H", "H"],
  "fractional_positions": [[0.453, 0.721, 0.500], [0.000, 0.000, 0.500], [0.598, 0.783, 0.000], [0.051, 0.764, 0.791], [0.500, 0.500, 0.773], [0.500, 0.500, 0.227], [0.402, 0.217, 0.000], [0.051, 0.764, 0.209], [0.949, 0.236, 0.209], [0.000, 0.000, 0.000], [0.547, 0.279, 0.500], [0.949, 0.236, 0.791]]
}

=====

Entry 11:
{
  "formula": "Ba2SrMgH",
  "functional": "PBE",
  "state": "relaxed",
  "crystal_system": "tetragonal",
  "space_group": "P4/mmm, No. 123",
  "cell": [[5.979, 0.000, 0.000], [0.000, 5.979, 0.000], [0.000, 0.000, 5.156]],
  "species": ["Mg", "H", "Ba", "Ba", "Sr"],
  "fractional_positions": [[0.500, 0.500, 0.500], [0.000, 0.000, 0.000], [0.500, 0.000, 0.000], [0.000, 0.500, 0.000], [0.000, 0.000, 0.500]]
}

=====

Entry 12:
{
  "formula": "BaMg2TlH",
  "functional": "PBE",
  "state": "relaxed",
  "crystal_system": "orthorhombic",
  "space_group": "Cmcm, No. 63",
  "cell": [[-3.950, 2.049, 1.945], [0.046, -6.689, 1.075], [4.007, 1.142, 6.935]],
  "species": ["Mg", "Tl", "Mg", "H", "Mg", "H", "Mg", "Ba", "Ba", "Tl"],
  "fractional_positions": [[0.162, 0.323, 0.941], [0.284, 0.568, 0.250], [0.838, 0.677, 0.441], [0.000, 0.000, 0.000], [0.838, 0.677, 0.059], [0.000, 0.000, 0.500], [0.162, 0.323, 0.559], [0.562, 0.123, 0.250], [0.438, 0.877, 0.750], [0.716, 0.432, 0.750]]
}

=====

Entry 13:
{
  "formula": "BaY2MgH",
  "functional": "PBE",
  "state": "relaxed",
  "crystal_system": "tetragonal",
  "space_group": "P4/mmm, No. 123",
  "cell": [[5.978, 0.000, 0.000], [0.000, 5.881, 0.000], [0.000, 0.000, 5.978]],
  "species": ["Y", "Mg", "H", "Ba", "Y"],
  "fractional_positions": [[0.000, 0.000, 0.500], [0.000, 0.500, 0.000], [0.500, 0.500, 0.500], [0.000, 0.000, 0.000], [0.500, 0.000, 0.000]]
}

=====

Entry 14:
{
  "formula": "Ba2YMgH",
  "functional": "PBE",
  "state": "relaxed",
  "crystal_system": "tetragonal",
  "space_group": "P4/mmm, No. 123",
  "cell": [[6.127, 0.000, 0.000], [0.000, 6.127, 0.000], [0.000, 0.000, 4.472]],
  "species": ["Y", "Ba", "H", "Ba", "Mg"],
  "fractional_positions": [[0.000, 0.000, 0.500], [0.000, 0.500, 0.000], [0.000, 0.000, 0.000], [0.500, 0.000, 0.000], [0.500, 0.500, 0.500]]
}

=====

Entry 15:
{
  "formula": "Ba2MgZnH",
  "functional": "PBE",
  "state": "relaxed",
  "crystal_system": "tetragonal",
  "space_group": "P4/mmm, No. 123",
  "cell": [[5.688, 0.000, 0.000], [0.000, 5.688, 0.000], [0.000, 0.000, 4.483]],
  "species": ["Ba", "Zn", "H", "Mg", "Ba"],
  "fractional_positions": [[0.000, 0.500, 0.000], [0.500, 0.500, 0.500], [0.000, 0.000, 0.000], [0.000, 0.000, 0.500], [0.500, 0.000, 0.000]]
}

=====

Entry 16:
{
  "formula": "BaMg2ZnH",
  "functional": "PBE",
  "state": "relaxed",
  "crystal_system": "orthorhombic",
  "space_group": "Cmcm, No. 63",
  "cell": [[4.318, 0.000, 0.000], [-2.159, 6.380, 0.000], [0.000, 0.000, 8.205]],
  "species": ["Mg", "Mg", "Mg", "Ba", "H", "Zn", "Ba", "H", "Zn", "Mg"],
  "fractional_positions": [[0.171, 0.343, 0.560], [0.171, 0.343, 0.940], [0.829, 0.657, 0.440], [0.543, 0.086, 0.250], [0.000, 0.000, 0.500], [0.264, 0.529, 0.250], [0.457, 0.914, 0.750], [0.000, 0.000, 0.000], [0.736, 0.471, 0.750], [0.829, 0.657, 0.060]]
}

=====

Entry 17:
{
  "formula": "Ba2MgZnH",
  "functional": "PBE",
  "state": "relaxed",
  "crystal_system": "tetragonal",
  "space_group": "P4/mmm, No. 123",
  "cell": [[-1.605, 3.252, -4.435], [-5.397, -0.042, 1.922], [0.821, 3.661, 2.387]],
  "species": ["Mg", "Zn", "Ba", "H", "Ba"],
  "fractional_positions": [[0.500, 0.500, 0.500], [0.000, 0.000, 0.500], [0.000, 0.500, 0.000], [0.000, 0.000, 0.000], [0.500, 0.000, 0.000]]
}

=====

Entry 18:
{
  "formula": "Ba2MgZnH6",
  "functional": "PBE",
  "state": "relaxed",
  "crystal_system": "trigonal",
  "space_group": "R-3m, No. 166",
  "cell": [[-1.533, -4.858, 2.133], [4.000, -3.226, -4.478], [5.134, -4.406, 0.795]],
  "species": ["Ba", "H", "H", "Zn", "Mg", "H", "H", "Ba", "H", "H"],
  "fractional_positions": [[0.261, 0.738, 0.477], [0.770, 0.713, 0.461], [0.770, 0.230, 0.944], [0.500, 0.500, 0.000], [0.000, 0.000, 0.000], [0.230, 0.287, 0.539], [0.287, 0.230, 0.943], [0.739, 0.262, 0.523], [0.713, 0.770, 0.057], [0.230, 0.770, 0.056]]
}

=====

Entry 19:
{
  "formula": "BaMn2H8",
  "functional": "PBE",
  "state": "relaxed",
  "crystal_system": "trigonal",
  "space_group": "P31m, No. 157",
  "cell": [[5.173, 0.072, -0.037], [-0.072, 4.157, -2.219], [0.037, -0.156, 4.710]],
  "species": ["Ba", "Mn", "H", "H", "H", "H", "H", "H", "Mn", "H", "H"],
  "fractional_positions": [[0.070, 0.997, 0.997], [0.568, 0.664, 0.330], [0.883, 0.330, 0.663], [0.360, 0.542, 0.997], [0.649, 0.692, 0.692], [0.883, 0.663, 0.330], [0.650, 0.302, 0.997], [0.360, 0.452, 0.452], [0.568, 0.330, 0.664], [0.650, 0.997, 0.302], [0.360, 0.997, 0.542]]
}

=====

Entry 20:
{
  "formula": "BaMn2H",
  "functional": "PBE",
  "state": "relaxed",
  "crystal_system": "cubic",
  "space_group": "Fm-3m, No. 225",
  "cell": [[4.568, -1.177, -2.008], [2.349, -4.352, 1.350], [0.406, -3.845, -3.367]],
  "species": ["Mn", "Mn", "H", "Ba"],
  "fractional_positions": [[0.250, 0.250, 0.250], [0.750, 0.750, 0.750], [0.000, 0.000, 0.000], [0.500, 0.500, 0.500]]
}

=====

Entry 21:
{
  "formula": "BaMnH3",
  "functional": "PBE",
  "state": "relaxed",
  "crystal_system": "cubic",
  "space_group": "Pm-3m, No. 221",
  "cell": [[4.869, 0.000, 0.000], [0.000, 4.869, 0.000], [0.000, 0.000, 4.869]],
  "species": ["H", "Ba", "H", "H", "Mn"],
  "fractional_positions": [[0.000, 0.500, 0.000], [0.000, 0.000, 0.000], [0.000, 0.000, 0.500], [0.500, 0.000, 0.000], [0.500, 0.500, 0.500]]
}

=====

Entry 22:
{
  "formula": "Ba2MnH",
  "functional": "PBE",
  "state": "relaxed",
  "crystal_system": "cubic",
  "space_group": "Fm-3m, No. 225",
  "cell": [[0.000, 3.943, 3.943], [3.943, 0.000, 3.943], [3.943, 3.943, 0.000]],
  "species": ["Ba", "Ba", "H", "Mn"],
  "fractional_positions": [[0.250, 0.250, 0.250], [0.750, 0.750, 0.750], [0.000, 0.000, 0.000], [0.500, 0.500, 0.500]]
}

=====

Entry 23:
{
  "formula": "BaMnH3",
  "functional": "PBE",
  "state": "relaxed",
  "crystal_system": "cubic",
  "space_group": "Pm-3m, No. 221",
  "cell": [[-3.583, -1.333, -0.519], [1.123, -1.756, -3.246], [0.885, -3.166, 2.019]],
  "species": ["H", "H", "Mn", "H", "Ba"],
  "fractional_positions": [[0.000, 0.500, 0.000], [0.500, 0.000, 0.000], [0.000, 0.000, 0.000], [0.000, 0.000, 0.500], [0.500, 0.500, 0.500]]
}

=====

Entry 24:
{
  "formula": "BaMn2H7",
  "functional": "PBE",
  "state": "relaxed",
  "crystal_system": "orthorhombic",
  "space_group": "Cmmm, No. 65",
  "cell": [[-2.972, -0.616, 2.067], [-1.864, -3.066, -3.593], [3.177, -2.283, 3.888]],
  "species": ["H", "H", "Ba", "H", "Mn", "H", "H", "H", "Mn", "H"],
  "fractional_positions": [[0.500, 0.985, 0.321], [0.500, 0.500, 0.000], [0.000, 0.000, 0.000], [0.500, 0.663, 0.679], [0.500, 0.313, 0.626], [0.000, 0.335, 0.669], [0.500, 0.015, 0.679], [0.000, 0.665, 0.331], [0.500, 0.687, 0.374], [0.500, 0.337, 0.321]]
}

=====

Entry 25:
{
  "formula": "Ba2MnH",
  "functional": "PBE",
  "state": "relaxed",
  "crystal_system": "tetragonal",
  "space_group": "I-42d, No. 122",
  "cell": [[-0.462, -6.774, -4.050], [-1.195, -3.950, 6.743], [-5.069, -4.815, 0.916]],
  "species": ["Ba", "Mn", "Mn", "Ba", "Ba", "H", "H", "Ba"],
  "fractional_positions": [[0.217, 0.625, 0.250], [0.000, 0.000, 0.000], [0.750, 0.250, 0.500], [0.875, 0.783, 0.750], [0.375, 0.467, 0.750], [0.500, 0.500, 0.000], [0.250, 0.750, 0.500], [0.533, 0.125, 0.250]]
}

=====

no.,total energy (eV/atom)
1,-3.6613
2,-3.1000
3,-3.3516
4,-3.5051
5,-3.5808
6,-3.0281
7,-2.9318
8,-3.1540
9,-2.1410
10,-3.1815
11,-2.2252
12,-2.4004
13,-2.2879
14,-3.0773
15,-2.1784
16,-2.1475
17,-2.1295
18,-2.9262
19,-4.4247
20,-4.5698
21,-3.5094
22,-3.5479
23,-4.1855
24,-4.4908
25,-3.7908